Computed, not measured: a relaxed CaTl2Se crystal at the PBE level of DFT.

```
CaTl2Se
1.0
4.053 0.000 0.000
-2.026 3.510 0.000
0.000 0.000 25.781
Ca Tl Se
3 6 3
Cartesian
0.000 0.000 0.000
0.000 2.340 17.187
2.026 1.170 8.594
0.000 0.000 6.162
0.000 0.000 19.619
0.000 2.340 11.025
0.000 2.340 23.349
2.026 1.170 2.432
2.026 1.170 14.756
0.000 0.000 12.890
0.000 2.340 4.297
2.026 1.170 21.484
```

Output
Theoretical density   7.2 g/cm3
DFT total energy   -33.91 eV per cell
E_form (uncorrected)   -271 meV per atom
N(E_F)   0.76 states/eV/atom